A geometry-optimized Be2CdFe structure. Source: Alexandria, functional PBE.

The structure in POSCAR format:
```
Be2CdFe
1.0
-3.1005 -0.2519 -2.0730
-0.7695 -2.1508 1.4122
-2.6889 1.7825 3.8051
Cd Fe Be
1 1 2
direct
0.0000 0.4531 0.4690 Cd
0.5000 0.7750 0.8263 Fe
0.5000 0.0748 0.2236 Be
0.0000 0.1970 0.9811 Be
```

Properties
D(E_F)	0.52	states/eV per atom
total magnetization	2.0	Bohr magnetons per cell
calculated total energy	-15.867	eV for the cell shown
DFT formation energy	0.241	eV/atom


A geometry-optimized Be2CdFe structure. Source: Alexandria, functional PBE.

The structure in POSCAR format:
```
Be2CdFe
1.0
-1.8190 -1.4161 1.6752
-0.2843 -1.9906 -1.9915
4.1084 -4.9189 0.3030
Be Cd Fe
2 1 1
direct
0.0000 0.4303 0.5699 Be
0.0000 0.0697 0.9301 Be
0.5000 0.2500 0.2500 Cd
0.5000 0.7500 0.7500 Fe
```

Properties
D(E_F)	0.55	states/eV per atom
total magnetization	0.5	Bohr magnetons per cell
calculated total energy	-16.397	eV for the cell shown
DFT formation energy	0.108	eV/atom


A geometry-optimized Be2CdFe2 structure. Source: Alexandria, functional PBE.

The structure in POSCAR format:
```
Be2CdFe2
1.0
6.4247 0.0000 0.0000
0.0000 6.4247 0.0000
0.0000 0.0000 2.8081
Fe Be Cd
4 4 2
direct
0.6645 0.8355 0.5000 Fe
0.3355 0.1645 0.5000 Fe
0.8355 0.3355 0.5000 Fe
0.1645 0.6645 0.5000 Fe
0.6191 0.1191 0.0000 Be
0.1191 0.3809 0.0000 Be
0.3809 0.8809 0.0000 Be
0.8809 0.6191 0.0000 Be
0.0000 0.0000 0.0000 Cd
0.5000 0.5000 0.0000 Cd
```

Properties
D(E_F)	1.10	states/eV per atom
total magnetization	7.9	Bohr magnetons per cell
calculated total energy	-49.267	eV for the cell shown
DFT formation energy	0.132	eV/atom


A geometry-optimized BeCd4Fe structure. Source: Alexandria, functional PBE.

The structure in POSCAR format:
```
BeCd4Fe
1.0
0.0000 3.9157 3.9157
3.9157 0.0000 3.9157
3.9157 3.9157 0.0000
Cd Fe Be
4 1 1
direct
0.3751 0.3751 0.3751 Cd
0.3751 0.3751 0.8748 Cd
0.3751 0.8748 0.3751 Cd
0.8748 0.3751 0.3751 Cd
0.7500 0.7500 0.7500 Fe
0.0000 0.0000 0.0000 Be
```

Properties
D(E_F)	0.82	states/eV per atom
total magnetization	2.9	Bohr magnetons per cell
calculated total energy	-11.379	eV for the cell shown
DFT formation energy	0.745	eV/atom


A geometry-optimized BeCd2Fe2 structure. Source: Alexandria, functional PBE.

The structure in POSCAR format:
```
BeCd2Fe2
1.0
-1.3897 2.7084 -1.2365
-0.4907 -1.5543 -2.8529
-7.7128 -1.7799 0.4042
Be Cd Fe
1 2 2
direct
0.0000 0.0000 0.0000 Be
0.5982 0.5982 0.8035 Cd
0.4018 0.4018 0.1965 Cd
0.7500 0.2500 0.5000 Fe
0.2500 0.7500 0.5000 Fe
```

Properties
D(E_F)	0.67	states/eV per atom
total magnetization	5.2	Bohr magnetons per cell
calculated total energy	-19.497	eV for the cell shown
DFT formation energy	0.597	eV/atom


A geometry-optimized BeCdFe2 structure. Source: Alexandria, functional PBE.

The structure in POSCAR format:
```
BeCdFe2
1.0
4.1716 -0.3321 0.0000
0.3666 4.1688 0.0000
-2.2691 -1.9183 2.9468
Cd Fe Be
1 2 1
direct
0.7500 0.2500 0.5000 Cd
0.0000 0.0000 0.0000 Fe
0.2500 0.7500 0.5000 Fe
0.5000 0.5000 0.0000 Be
```

Properties
D(E_F)	0.51	states/eV per atom
total magnetization	4.4	Bohr magnetons per cell
calculated total energy	-20.274	eV for the cell shown
DFT formation energy	0.323	eV/atom


A geometry-optimized Be2CdFe structure. Source: Alexandria, functional PBE.

The structure in POSCAR format:
```
Be2CdFe
1.0
-3.7798 -2.3418 -7.2998
-3.5281 -4.7435 -6.1733
-5.6233 -3.2072 -5.5813
Be Fe Cd
2 1 1
direct
0.4857 0.4857 0.4857 Be
0.0143 0.0143 0.0143 Be
0.7500 0.7500 0.7500 Fe
0.2500 0.2500 0.2500 Cd
```

Properties
D(E_F)	0.43	states/eV per atom
total magnetization	2.0	Bohr magnetons per cell
calculated total energy	-15.334	eV for the cell shown
DFT formation energy	0.374	eV/atom


A geometry-optimized BeCdFe2 structure. Source: Alexandria, functional PBE.

The structure in POSCAR format:
```
BeCdFe2
1.0
2.6785 0.0000 0.0000
0.0000 2.6748 0.0037
0.0000 2.6556 7.0635
Cd Fe Be
1 2 1
direct
0.5000 0.7500 0.7500 Cd
0.0000 0.5556 0.4446 Fe
0.0000 0.9444 0.0554 Fe
0.5000 0.2500 0.2500 Be
```

Properties
D(E_F)	0.40	states/eV per atom
total magnetization	4.5	Bohr magnetons per cell
calculated total energy	-20.999	eV for the cell shown
DFT formation energy	0.142	eV/atom


A geometry-optimized BeCdFe2 structure. Source: Alexandria, functional PBE.

The structure in POSCAR format:
```
BeCdFe2
1.0
4.8626 0.0255 0.0252
1.9955 4.4343 -0.0252
-2.8969 -3.0482 2.4418
Be Cd Fe
1 1 2
direct
0.5172 0.5172 0.0000 Be
0.2626 0.7626 0.5000 Cd
0.7402 0.2402 0.5000 Fe
0.9801 0.9801 0.0000 Fe
```

Properties
D(E_F)	0.58	states/eV per atom
total magnetization	4.8	Bohr magnetons per cell
calculated total energy	-20.275	eV for the cell shown
DFT formation energy	0.323	eV/atom


A geometry-optimized BeCdFe2 structure. Source: Alexandria, functional PBE.

The structure in POSCAR format:
```
BeCdFe2
1.0
-2.5426 -3.3441 0.8135
-0.6561 -4.1091 -0.9972
2.5799 -2.1311 3.5883
Be Fe Cd
1 2 1
direct
0.4873 0.4873 0.5586 Be
0.0121 0.0121 0.9333 Fe
0.7515 0.7515 0.7484 Fe
0.2491 0.2491 0.2596 Cd
```

Properties
D(E_F)	0.68	states/eV per atom
total magnetization	4.4	Bohr magnetons per cell
calculated total energy	-20.390	eV for the cell shown
DFT formation energy	0.294	eV/atom


A geometry-optimized BeCdFe2 structure. Source: Alexandria, functional PBE.

The structure in POSCAR format:
```
BeCdFe2
1.0
-1.1800 -1.1849 3.1920
3.3473 -1.0220 0.8580
2.5491 6.5297 5.4003
Fe Be Cd
4 2 2
direct
0.2293 0.6250 0.2500 Fe
0.5207 0.1250 0.2500 Fe
0.8750 0.7707 0.7500 Fe
0.3750 0.4793 0.7500 Fe
0.2500 0.7500 0.5000 Be
0.5000 0.5000 0.0000 Be
0.0000 0.0000 0.0000 Cd
0.7500 0.2500 0.5000 Cd
```

Properties
D(E_F)	0.81	states/eV per atom
total magnetization	0.0	Bohr magnetons per cell
calculated total energy	-37.295	eV for the cell shown
DFT formation energy	0.730	eV/atom


A geometry-optimized BeCdFe2 structure. Source: Alexandria, functional PBE.

The structure in POSCAR format:
```
BeCdFe2
1.0
-1.7361 0.3389 8.3356
-2.0880 -2.3218 7.9284
0.3968 -1.3387 8.4060
Fe Be Cd
2 1 1
direct
0.9873 0.9873 0.9873 Fe
0.5127 0.5127 0.5127 Fe
0.2500 0.2500 0.2500 Be
0.7500 0.7500 0.7500 Cd
```

Properties
D(E_F)	1.04	states/eV per atom
total magnetization	5.0	Bohr magnetons per cell
calculated total energy	-20.193	eV for the cell shown
DFT formation energy	0.343	eV/atom


A geometry-optimized BeCdFe2 structure. Source: Alexandria, functional PBE.

The structure in POSCAR format:
```
BeCdFe2
1.0
-2.2370 2.5996 0.9532
-0.2333 -1.4268 3.3435
3.1041 2.2410 1.1728
Fe Cd Be
2 1 1
direct
0.5000 0.5000 0.0000 Fe
0.0000 0.0000 0.0000 Fe
0.0000 0.5000 0.5000 Cd
0.5000 0.0000 0.5000 Be
```

Properties
D(E_F)	0.45	states/eV per atom
total magnetization	4.8	Bohr magnetons per cell
calculated total energy	-20.429	eV for the cell shown
DFT formation energy	0.284	eV/atom


A geometry-optimized Be2CdFe structure. Source: Alexandria, functional PBE.

The structure in POSCAR format:
```
Be2CdFe
1.0
-3.3637 1.3330 -1.9403
-3.4593 -1.2741 -1.8072
-2.9586 0.3123 3.9924
Fe Cd Be
1 1 2
direct
0.7500 0.7500 0.7500 Fe
0.2500 0.2500 0.2500 Cd
0.0105 0.0105 0.9213 Be
0.4895 0.4895 0.5787 Be
```

Properties
D(E_F)	0.46	states/eV per atom
total magnetization	1.7	Bohr magnetons per cell
calculated total energy	-15.718	eV for the cell shown
DFT formation energy	0.278	eV/atom


A geometry-optimized BeCdFe2 structure. Source: Alexandria, functional PBE.

The structure in POSCAR format:
```
BeCdFe2
1.0
-0.4883 -4.3402 2.1366
2.4754 -3.6786 1.9953
0.1809 0.0577 4.0634
Cd Be Fe
1 1 2
direct
0.2500 0.2500 0.2500 Cd
0.7500 0.7500 0.7500 Be
0.0209 0.0209 0.9799 Fe
0.4791 0.4791 0.5201 Fe
```

Properties
D(E_F)	0.59	states/eV per atom
total magnetization	4.7	Bohr magnetons per cell
calculated total energy	-20.558	eV for the cell shown
DFT formation energy	0.252	eV/atom


A geometry-optimized BeCd3Fe structure. Source: Alexandria, functional PBE.

The structure in POSCAR format:
```
BeCd3Fe
1.0
5.0092 0.0000 0.0000
0.0000 5.0092 0.0000
0.0000 0.0000 5.0092
Cd Be Fe
3 1 1
direct
0.5000 0.0000 0.0000 Cd
0.0000 0.5000 0.0000 Cd
0.0000 0.0000 0.5000 Cd
0.5000 0.5000 0.5000 Be
0.0000 0.0000 0.0000 Fe
```

Properties
D(E_F)	0.75	states/eV per atom
total magnetization	2.3	Bohr magnetons per cell
calculated total energy	-9.705	eV for the cell shown
DFT formation energy	1.046	eV/atom


A geometry-optimized BeCdFe2 structure. Source: Alexandria, functional PBE.

The structure in POSCAR format:
```
BeCdFe2
1.0
-0.3928 3.1163 2.2228
-2.1591 0.6956 -1.3567
-3.5599 -2.5307 2.9190
Cd Fe Be
1 2 1
direct
0.5000 0.6323 0.7529 Cd
0.0000 0.0353 0.0430 Fe
0.5000 0.2364 0.2742 Fe
0.0000 0.5961 0.4299 Be
```

Properties
D(E_F)	0.42	states/eV per atom
total magnetization	4.4	Bohr magnetons per cell
calculated total energy	-20.586	eV for the cell shown
DFT formation energy	0.245	eV/atom


A geometry-optimized BeCd2Fe2 structure. Source: Alexandria, functional PBE.

The structure in POSCAR format:
```
BeCd2Fe2
1.0
-5.0858 -2.6147 -0.8947
2.3577 -5.0828 1.4524
-1.0963 0.6933 4.2058
Cd Fe Be
4 4 2
direct
0.3267 0.1733 0.5000 Cd
0.8267 0.3267 0.5000 Cd
0.6733 0.8267 0.5000 Cd
0.1733 0.6733 0.5000 Cd
0.1399 0.3601 0.0000 Fe
0.3601 0.8601 0.0000 Fe
0.6399 0.1399 0.0000 Fe
0.8601 0.6399 0.0000 Fe
0.0000 0.0000 0.0000 Be
0.5000 0.5000 0.0000 Be
```

Properties
D(E_F)	0.61	states/eV per atom
total magnetization	7.1	Bohr magnetons per cell
calculated total energy	-41.820	eV for the cell shown
DFT formation energy	0.314	eV/atom


A geometry-optimized Be2CdFe structure. Source: Alexandria, functional PBE.

The structure in POSCAR format:
```
Be2CdFe
1.0
-2.0002 1.3287 2.9712
0.0632 -3.4716 1.5950
2.7858 0.7568 1.5369
Cd Be Fe
1 2 1
direct
0.5000 0.0000 0.5000 Cd
0.0000 0.0000 0.0000 Be
0.5000 0.5000 0.0000 Be
0.0000 0.5000 0.5000 Fe
```

Properties
D(E_F)	0.36	states/eV per atom
total magnetization	2.0	Bohr magnetons per cell
calculated total energy	-15.796	eV for the cell shown
DFT formation energy	0.259	eV/atom


A geometry-optimized Be2CdFe structure. Source: Alexandria, functional PBE.

The structure in POSCAR format:
```
Be2CdFe
1.0
-3.4400 0.7481 3.2294
-4.3810 -1.1282 -1.5350
4.3915 -1.6117 0.9691
Be Fe Cd
2 1 1
direct
0.5225 0.5225 0.0000 Be
0.9775 0.9775 0.0000 Be
0.7500 0.2500 0.5000 Fe
0.2500 0.7500 0.5000 Cd
```

Properties
D(E_F)	0.62	states/eV per atom
total magnetization	1.3	Bohr magnetons per cell
calculated total energy	-15.188	eV for the cell shown
DFT formation energy	0.411	eV/atom


A geometry-optimized BeCd3Fe structure. Source: Alexandria, functional PBE.

The structure in POSCAR format:
```
BeCd3Fe
1.0
4.6060 0.0000 0.0000
0.0000 4.6060 0.0000
0.0000 0.0000 4.6060
Be Cd Fe
1 3 1
direct
0.0000 0.0000 0.0000 Be
0.5000 0.0000 0.0000 Cd
0.0000 0.5000 0.0000 Cd
0.0000 0.0000 0.5000 Cd
0.5000 0.5000 0.5000 Fe
```

Properties
D(E_F)	0.60	states/eV per atom
total magnetization	3.2	Bohr magnetons per cell
calculated total energy	-11.358	eV for the cell shown
DFT formation energy	0.715	eV/atom


A geometry-optimized Be2CdFe structure. Source: Alexandria, functional PBE.

The structure in POSCAR format:
```
Be2CdFe
1.0
4.5858 0.0001 0.0092
3.8105 2.5514 0.0092
1.2580 0.3823 4.0743
Be Cd Fe
2 1 1
direct
0.9832 0.9832 0.9662 Be
0.2724 0.2724 0.2583 Be
0.5129 0.5129 0.4554 Cd
0.7316 0.7316 0.8200 Fe
```

Properties
D(E_F)	0.30	states/eV per atom
total magnetization	1.8	Bohr magnetons per cell
calculated total energy	-15.674	eV for the cell shown
DFT formation energy	0.289	eV/atom


A geometry-optimized BeCdFe2 structure. Source: Alexandria, functional PBE.

The structure in POSCAR format:
```
BeCdFe2
1.0
-0.2151 1.4902 3.9348
1.7217 3.7292 0.9373
-2.4690 3.3010 0.8703
Be Fe Cd
1 2 1
direct
0.0000 0.0000 0.0000 Be
0.2500 0.2500 0.2500 Fe
0.7500 0.7500 0.7500 Fe
0.5000 0.5000 0.5000 Cd
```

Properties
D(E_F)	0.85	states/eV per atom
total magnetization	4.6	Bohr magnetons per cell
calculated total energy	-19.794	eV for the cell shown
DFT formation energy	0.443	eV/atom


A geometry-optimized BeCdFe3 structure. Source: Alexandria, functional PBE.

The structure in POSCAR format:
```
BeCdFe3
1.0
4.7144 0.0000 0.0000
0.0000 4.7144 0.0000
0.0000 0.0000 4.7144
Fe Cd Be
3 1 1
direct
0.0000 0.5000 0.0000 Fe
0.0000 0.0000 0.5000 Fe
0.5000 0.0000 0.0000 Fe
0.0000 0.0000 0.0000 Cd
0.5000 0.5000 0.5000 Be
```

Properties
D(E_F)	1.49	states/eV per atom
total magnetization	8.3	Bohr magnetons per cell
calculated total energy	-20.116	eV for the cell shown
DFT formation energy	1.983	eV/atom


A geometry-optimized Be2CdFe structure. Source: Alexandria, functional PBE.

The structure in POSCAR format:
```
Be2CdFe
1.0
4.7411 0.0183 0.0000
2.2382 4.1796 0.0000
-3.4897 -2.0989 2.4280
Fe Be Cd
1 2 1
direct
0.7500 0.2500 0.5000 Fe
0.2500 0.7500 0.5000 Be
0.0000 0.0000 0.0000 Be
0.5000 0.5000 0.0000 Cd
```

Properties
D(E_F)	0.51	states/eV per atom
total magnetization	1.6	Bohr magnetons per cell
calculated total energy	-15.431	eV for the cell shown
DFT formation energy	0.350	eV/atom


A geometry-optimized Be2CdFe structure. Source: Alexandria, functional PBE.

The structure in POSCAR format:
```
Be2CdFe
1.0
-1.4216 2.0571 3.2978
0.9629 -1.2860 3.8141
2.6006 2.2156 2.3359
Be Cd Fe
2 1 1
direct
0.2500 0.2500 0.2500 Be
0.0000 0.0000 0.0000 Be
0.5000 0.5000 0.5000 Cd
0.7500 0.7500 0.7500 Fe
```

Properties
D(E_F)	1.24	states/eV per atom
total magnetization	2.0	Bohr magnetons per cell
calculated total energy	-14.903	eV for the cell shown
DFT formation energy	0.482	eV/atom


A geometry-optimized BeCd2Fe2 structure. Source: Alexandria, functional PBE.

The structure in POSCAR format:
```
BeCd2Fe2
1.0
-4.4636 -5.2470 -3.2710
3.3746 -5.4478 4.1337
-1.9330 0.3627 2.0560
Fe Cd Be
4 4 2
direct
0.1088 0.6088 0.5000 Fe
0.8912 0.3912 0.5000 Fe
0.3912 0.1088 0.5000 Fe
0.6088 0.8912 0.5000 Fe
0.3141 0.8141 0.0000 Cd
0.8141 0.6859 0.0000 Cd
0.1859 0.3141 0.0000 Cd
0.6859 0.1859 0.0000 Cd
0.0000 0.0000 0.0000 Be
0.5000 0.5000 0.0000 Be
```

Properties
D(E_F)	0.71	states/eV per atom
total magnetization	9.9	Bohr magnetons per cell
calculated total energy	-37.953	eV for the cell shown
DFT formation energy	0.701	eV/atom


A geometry-optimized BeCdFe2 structure. Source: Alexandria, functional PBE.

The structure in POSCAR format:
```
BeCdFe2
1.0
-2.3971 -1.4606 0.7334
1.0569 -0.3921 2.6733
-2.6462 5.2550 1.8170
Fe Cd Be
2 1 1
direct
0.5000 0.5000 0.2627 Fe
0.0000 0.0000 0.0582 Fe
0.5000 0.5000 0.7371 Cd
0.0000 0.0000 0.4420 Be
```

Properties
D(E_F)	0.86	states/eV per atom
total magnetization	4.3	Bohr magnetons per cell
calculated total energy	-20.864	eV for the cell shown
DFT formation energy	0.176	eV/atom


A geometry-optimized Be4Cd2Fe structure. Source: Alexandria, functional PBE.

The structure in POSCAR format:
```
Be4Cd2Fe
1.0
4.0183 0.0000 0.0000
0.0000 4.0183 0.0000
2.0092 2.0092 6.2147
Be Cd Fe
4 2 1
direct
0.1656 0.1656 0.6687 Be
0.5000 0.0000 0.0000 Be
0.8344 0.8344 0.3313 Be
0.0000 0.5000 0.0000 Be
0.3630 0.3630 0.2741 Cd
0.6370 0.6370 0.7259 Cd
0.0000 0.0000 0.0000 Fe
```

Properties
D(E_F)	0.57	states/eV per atom
total magnetization	0.0	Bohr magnetons per cell
calculated total energy	-21.113	eV for the cell shown
DFT formation energy	0.584	eV/atom